# PBE ZnAsPb2, relaxed
data_ZnAsPb2
_space_group_name_H-M_alt 'P 1'
_space_group_IT_number 1
_cell_length_a 4.697
_cell_length_b 3.964
_cell_length_c 6.022
_cell_angle_alpha 90.00
_cell_angle_beta 112.89
_cell_angle_gamma 90.00
loop_
_space_group_symop_operation_xyz
'x,y,z'
loop_
_atom_site_label
_atom_site_fract_x
_atom_site_fract_y
_atom_site_fract_z
_atom_site_occupancy
Zn1 0.000 0.000 0.000 1
As1 0.862 0.500 0.706 1
Pb1 0.276 0.000 0.538 1
Pb2 0.584 0.500 0.162 1
# E_form: 0.031 eV per atom
# total energy: -13.2 eV/f.u.

***

# PBE PuMg2TaN4, relaxed
data_PuMg2TaN4
_space_group_name_H-M_alt 'P 1'
_space_group_IT_number 1
_cell_length_a 5.514
_cell_length_b 3.220
_cell_length_c 5.650
_cell_angle_alpha 90.00
_cell_angle_beta 109.89
_cell_angle_gamma 90.00
loop_
_space_group_symop_operation_xyz
'x,y,z'
loop_
_atom_site_label
_atom_site_fract_x
_atom_site_fract_y
_atom_site_fract_z
_atom_site_occupancy
Pu1 0.000 0.000 0.000 1
Mg1 0.500 0.000 0.500 1
Mg2 0.500 0.500 0.000 1
Ta1 0.000 0.500 0.500 1
N1 0.239 0.000 0.734 1
N2 0.242 0.500 0.271 1
N3 0.758 0.500 0.729 1
N4 0.761 0.000 0.266 1
# total energy: -70.9 eV/f.u.

***

# PBE H6OsF12, relaxed
data_H6OsF12
_space_group_name_H-M_alt 'P 1'
_space_group_IT_number 1
_cell_length_a 6.458
_cell_length_b 6.458
_cell_length_c 6.458
_cell_angle_alpha 104.23
_cell_angle_beta 104.23
_cell_angle_gamma 104.23
loop_
_space_group_symop_operation_xyz
'x,y,z'
loop_
_atom_site_label
_atom_site_fract_x
_atom_site_fract_y
_atom_site_fract_z
_atom_site_occupancy
H1 0.039 0.781 0.180 1
H2 0.180 0.039 0.781 1
H3 0.219 0.820 0.961 1
H4 0.781 0.180 0.039 1
H5 0.820 0.961 0.219 1
H6 0.961 0.219 0.820 1
Os1 0.500 0.500 0.500 1
F1 0.064 0.183 0.732 1
F2 0.183 0.732 0.064 1
F3 0.196 0.481 0.415 1
F4 0.268 0.936 0.817 1
F5 0.415 0.196 0.481 1
F6 0.481 0.415 0.196 1
F7 0.519 0.585 0.804 1
F8 0.585 0.804 0.519 1
F9 0.732 0.064 0.183 1
F10 0.804 0.519 0.585 1
F11 0.817 0.268 0.936 1
F12 0.936 0.817 0.268 1
# total energy: -84.8 eV/f.u.

***

# PBE SmEuGa2, relaxed
data_SmEuGa2
_space_group_name_H-M_alt 'P 1'
_space_group_IT_number 1
_cell_length_a 3.710
_cell_length_b 3.710
_cell_length_c 7.389
_cell_angle_alpha 90.00
_cell_angle_beta 90.00
_cell_angle_gamma 90.00
loop_
_space_group_symop_operation_xyz
'x,y,z'
loop_
_atom_site_label
_atom_site_fract_x
_atom_site_fract_y
_atom_site_fract_z
_atom_site_occupancy
Sm1 0.000 0.000 0.000 1
Eu1 0.000 0.000 0.500 1
Ga1 0.500 0.500 0.236 1
Ga2 0.500 0.500 0.764 1
# E_form: -0.513 eV per atom
# total energy: -23.1 eV/f.u.

***

# PBE PuAg2Au2, relaxed
data_PuAg2Au2
_space_group_name_H-M_alt 'P 1'
_space_group_IT_number 1
_cell_length_a 7.339
_cell_length_b 7.339
_cell_length_c 7.339
_cell_angle_alpha 148.15
_cell_angle_beta 148.15
_cell_angle_gamma 45.66
loop_
_space_group_symop_operation_xyz
'x,y,z'
loop_
_atom_site_label
_atom_site_fract_x
_atom_site_fract_y
_atom_site_fract_z
_atom_site_occupancy
Pu1 0.000 0.000 0.000 1
Ag1 0.250 0.750 0.500 1
Ag2 0.750 0.250 0.500 1
Au1 0.399 0.399 0.000 1
Au2 0.601 0.601 0.000 1
# E_form: -0.177 eV per atom
# total energy: -27.5 eV/f.u.

***

# PBE BaP2CS, relaxed
data_BaP2CS
_space_group_name_H-M_alt 'P 1'
_space_group_IT_number 1
_cell_length_a 6.457
_cell_length_b 6.457
_cell_length_c 5.866
_cell_angle_alpha 90.00
_cell_angle_beta 90.00
_cell_angle_gamma 90.00
loop_
_space_group_symop_operation_xyz
'x,y,z'
loop_
_atom_site_label
_atom_site_fract_x
_atom_site_fract_y
_atom_site_fract_z
_atom_site_occupancy
Ba1 0.000 0.000 0.000 1
P1 0.000 0.500 0.000 1
P2 0.500 0.000 0.000 1
C1 0.500 0.500 0.500 1
S1 0.000 0.000 0.500 1
# total energy: -13.5 eV/f.u.

***

Question: Which value of total energy does entry 2 give?
Answer: -70.9 eV/f.u.

***

Question: Which formula does entry 6 have?
Answer: BaP2CS

***

Question: The highest total energy belongs to which entry?
Answer: ZnAsPb2